The following is a PBE-GGA calculation of a relaxed InOsPb crystal, from Alexandria via LeMat-Bulk. Values from VASP.

Output
Energy of formation from the pure elements in eV/atom: 0.566
DFT total energy in eV/f.u.: -15.978
DOS(E_F) in states/eV/atom: 0.71
SG: No. 216

Cell and atoms, written as Quantum ESPRESSO input:
```
&SYSTEM
  ibrav = 0, nat = 3, ntyp = 3
/
ATOMIC_SPECIES
In 114.82 In.upf
Os 190.23 Os.upf
Pb 207.20 Pb.upf
CELL_PARAMETERS angstrom
-0.4864 2.7592 3.6823
-1.3443 -1.7721 4.0573
3.0005 -0.2774 3.5113
ATOMIC_POSITIONS angstrom
In 0.5849 0.3549 5.6255
Os 0.8773 0.5323 8.4382
Pb 0.0000 0.0000 0.0000
```

The following is a PBE-GGA calculation of a relaxed InOsPb2 crystal, from Alexandria via LeMat-Bulk. Values from VASP.

Output
Energy of formation from the pure elements in eV/atom: 0.814
DFT total energy in eV/f.u.: -18.130
DOS(E_F) in states/eV/atom: 0.87
SG: No. 119

Cell and atoms, written as Quantum ESPRESSO input:
```
&SYSTEM
  ibrav = 0, nat = 4, ntyp = 3
/
ATOMIC_SPECIES
In 114.82 In.upf
Os 190.23 Os.upf
Pb 207.20 Pb.upf
CELL_PARAMETERS angstrom
4.9987 -0.3321 0.0000
-0.1295 5.0081 0.0000
-2.4346 -2.3380 3.7019
ATOMIC_POSITIONS angstrom
In 2.4346 2.3380 0.0000
Os 2.4994 -0.1660 1.8509
Pb 0.0000 0.0000 0.0000
Pb -0.0648 2.5040 1.8509
```

The following is a PBE-GGA calculation of a relaxed InOsPb2 crystal, from Alexandria via LeMat-Bulk. Values from VASP.

Output
Energy of formation from the pure elements in eV/atom: 0.849
DFT total energy in eV/f.u.: -17.987
DOS(E_F) in states/eV/atom: 0.89
SG: No. 65

Cell and atoms, written as Quantum ESPRESSO input:
```
&SYSTEM
  ibrav = 0, nat = 4, ntyp = 3
/
ATOMIC_SPECIES
In 114.82 In.upf
Os 190.23 Os.upf
Pb 207.20 Pb.upf
CELL_PARAMETERS angstrom
5.1844 -0.0320 0.0000
-1.5418 4.9500 0.0000
0.0000 0.0000 3.6490
ATOMIC_POSITIONS angstrom
In 2.5922 -0.0160 1.8245
Os -0.7709 2.4750 1.8245
Pb 0.0000 0.0000 0.0000
Pb 1.8213 2.4590 0.0000
```

The following is a PBE-GGA calculation of a relaxed InOsPb2 crystal, from Alexandria via LeMat-Bulk. Values from VASP.

Output
Energy of formation from the pure elements in eV/atom: 0.570
DFT total energy in eV/f.u.: -19.103
DOS(E_F) in states/eV/atom: 1.02
SG: No. 166

Cell and atoms, written as Quantum ESPRESSO input:
```
&SYSTEM
  ibrav = 0, nat = 4, ntyp = 3
/
ATOMIC_SPECIES
In 114.82 In.upf
Os 190.23 Os.upf
Pb 207.20 Pb.upf
CELL_PARAMETERS angstrom
-5.4029 4.0040 8.0540
-4.0967 1.3338 9.5671
-2.3323 4.1559 9.3477
ATOMIC_POSITIONS angstrom
In -2.9580 2.3734 6.7422
Os -8.8740 7.1203 20.2266
Pb -0.1791 0.1437 0.4081
Pb -5.7369 4.6032 13.0763
```

The following is a PBE-GGA calculation of a relaxed InOsPb2 crystal, from Alexandria via LeMat-Bulk. Values from VASP.

Output
Energy of formation from the pure elements in eV/atom: 0.876
DFT total energy in eV/f.u.: -17.880
DOS(E_F) in states/eV/atom: 0.89
SG: No. 123

Cell and atoms, written as Quantum ESPRESSO input:
```
&SYSTEM
  ibrav = 0, nat = 4, ntyp = 3
/
ATOMIC_SPECIES
In 114.82 In.upf
Os 190.23 Os.upf
Pb 207.20 Pb.upf
CELL_PARAMETERS angstrom
4.2026 0.0000 0.0000
0.0000 4.7042 0.0000
0.0000 0.0000 4.7042
ATOMIC_POSITIONS angstrom
In 2.1013 2.3521 0.0000
Os 2.1013 0.0000 2.3521
Pb 0.0000 0.0000 0.0000
Pb 0.0000 2.3521 2.3521
```

The following is a PBE-GGA calculation of a relaxed InOsPb crystal, from Alexandria via LeMat-Bulk. Values from VASP.

Output
Energy of formation from the pure elements in eV/atom: 0.839
DFT total energy in eV/f.u.: -15.158
DOS(E_F) in states/eV/atom: 1.11
SG: No. 187

Cell and atoms, written as Quantum ESPRESSO input:
```
&SYSTEM
  ibrav = 0, nat = 3, ntyp = 3
/
ATOMIC_SPECIES
In 114.82 In.upf
Os 190.23 Os.upf
Pb 207.20 Pb.upf
CELL_PARAMETERS angstrom
4.6932 0.0000 0.0000
-2.3466 4.0645 0.0000
0.0000 0.0000 3.4573
ATOMIC_POSITIONS angstrom
In 0.0000 0.0000 0.5785
Os 2.3466 1.3548 0.5743
Pb 0.0000 2.7096 2.3045
```

The following is a PBE-GGA calculation of a relaxed InOs4Pb crystal, from Alexandria via LeMat-Bulk. Values from VASP.

Output
Energy of formation from the pure elements in eV/atom: 0.863
DFT total energy in eV/f.u.: -46.189
DOS(E_F) in states/eV/atom: 1.62
SG: No. 216

Cell and atoms, written as Quantum ESPRESSO input:
```
&SYSTEM
  ibrav = 0, nat = 6, ntyp = 3
/
ATOMIC_SPECIES
In 114.82 In.upf
Os 190.23 Os.upf
Pb 207.20 Pb.upf
CELL_PARAMETERS angstrom
0.0000 3.7776 3.7776
3.7776 0.0000 3.7776
3.7776 3.7776 0.0000
ATOMIC_POSITIONS angstrom
In 0.0000 0.0000 0.0000
Os 2.8321 4.7231 4.7231
Os 4.7231 4.7231 2.8321
Os 4.7231 2.8321 4.7231
Os 2.8321 2.8321 2.8321
Pb 5.6664 5.6664 5.6664
```

The following is a PBE-GGA calculation of a relaxed InOsPb2 crystal, from Alexandria via LeMat-Bulk. Values from VASP.

Output
Energy of formation from the pure elements in eV/atom: 0.494
DFT total energy in eV/f.u.: -19.407
DOS(E_F) in states/eV/atom: 0.40
SG: No. 65

Cell and atoms, written as Quantum ESPRESSO input:
```
&SYSTEM
  ibrav = 0, nat = 4, ntyp = 3
/
ATOMIC_SPECIES
In 114.82 In.upf
Os 190.23 Os.upf
Pb 207.20 Pb.upf
CELL_PARAMETERS angstrom
4.1006 0.0000 0.0000
0.0000 6.2634 0.2259
0.0000 3.8849 4.9186
ATOMIC_POSITIONS angstrom
In 2.0503 2.5371 1.2861
Os 2.0503 7.6112 3.8583
Pb 0.0000 9.2075 4.6682
Pb 0.0000 6.0149 3.0485
```

The following is a PBE-GGA calculation of a relaxed InOsPb2 crystal, from Alexandria via LeMat-Bulk. Values from VASP.

Output
Energy of formation from the pure elements in eV/atom: 0.492
DFT total energy in eV/f.u.: -19.416
DOS(E_F) in states/eV/atom: 0.46
SG: No. 123

Cell and atoms, written as Quantum ESPRESSO input:
```
&SYSTEM
  ibrav = 0, nat = 4, ntyp = 3
/
ATOMIC_SPECIES
In 114.82 In.upf
Os 190.23 Os.upf
Pb 207.20 Pb.upf
CELL_PARAMETERS angstrom
3.3385 0.0222 0.0000
-0.0191 3.3385 0.0000
0.0000 0.0000 8.8207
ATOMIC_POSITIONS angstrom
In 1.6597 1.6803 2.2052
Os 1.6597 1.6803 6.6156
Pb 0.0000 0.0000 8.3375
Pb 0.0000 0.0000 4.8936
```

The following is a PBE-GGA calculation of a relaxed InOsPb2 crystal, from Alexandria via LeMat-Bulk. Values from VASP.

Output
Energy of formation from the pure elements in eV/atom: 0.513
DFT total energy in eV/f.u.: -19.331
DOS(E_F) in states/eV/atom: 0.53
SG: No. 6

Cell and atoms, written as Quantum ESPRESSO input:
```
&SYSTEM
  ibrav = 0, nat = 4, ntyp = 3
/
ATOMIC_SPECIES
In 114.82 In.upf
Os 190.23 Os.upf
Pb 207.20 Pb.upf
CELL_PARAMETERS angstrom
3.9890 0.0000 0.0000
0.0000 3.5001 -0.0060
0.0000 1.7516 7.1935
ATOMIC_POSITIONS angstrom
In 0.0000 2.8443 4.1875
Os 1.9945 4.5962 4.8348
Pb 0.0000 4.6002 6.9630
Pb 1.9945 1.0885 1.9834
```

The following is a PBE-GGA calculation of a relaxed InOsPb3 crystal, from Alexandria via LeMat-Bulk. Values from VASP.

Output
Energy of formation from the pure elements in eV/atom: 0.493
DFT total energy in eV/f.u.: -22.628
DOS(E_F) in states/eV/atom: 0.92
SG: No. 221

Cell and atoms, written as Quantum ESPRESSO input:
```
&SYSTEM
  ibrav = 0, nat = 5, ntyp = 3
/
ATOMIC_SPECIES
Pb 207.20 Pb.upf
Os 190.23 Os.upf
In 114.82 In.upf
CELL_PARAMETERS angstrom
-3.0241 1.3685 4.1721
-4.3528 -0.2689 -3.0669
-0.5768 -5.1458 1.2698
ATOMIC_POSITIONS angstrom
Pb -2.1764 -0.1344 -1.5334
Pb -0.2884 -2.5729 0.6349
Pb -1.5121 0.6842 2.0861
Os 0.0000 0.0000 0.0000
In -3.9768 -2.0231 1.1875
```

The following is a PBE-GGA calculation of a relaxed InOsPb2 crystal, from Alexandria via LeMat-Bulk. Values from VASP.

Output
Energy of formation from the pure elements in eV/atom: 0.386
DFT total energy in eV/f.u.: -19.839
DOS(E_F) in states/eV/atom: 0.78
SG: No. 71

Cell and atoms, written as Quantum ESPRESSO input:
```
&SYSTEM
  ibrav = 0, nat = 4, ntyp = 3
/
ATOMIC_SPECIES
In 114.82 In.upf
Os 190.23 Os.upf
Pb 207.20 Pb.upf
CELL_PARAMETERS angstrom
-2.4088 1.4203 6.9472
-1.1878 -1.5390 7.2322
3.5286 1.6858 2.3878
ATOMIC_POSITIONS angstrom
In -0.0510 1.1753 12.4254
Os -0.0170 0.3918 4.1418
Pb -3.0550 0.0187 13.2853
Pb -0.5757 0.6461 9.1777
```